(1)
Material: InCu2Ru
Method: DFT, PBE-GGA
State: optimized geometry

E = -4.95 eV per atom
formation energy = 0.097 eV/atom

Structure (CIF):
```
data_InCu2Ru
_chemical_formula_sum 'In1 Cu2 Ru1'
_cell_length_a 3.873
_cell_length_b 3.873
_cell_length_c 3.915
_cell_angle_alpha 90.00
_cell_angle_beta 90.00
_cell_angle_gamma 90.00
_symmetry_space_group_name_H-M 'P 4/m m m'
_symmetry_Int_Tables_number 123
_symmetry_space_group_name_Hall '-P 4 2'
loop_
_atom_site_label
_atom_site_type_symbol
_atom_site_fract_x
_atom_site_fract_y
_atom_site_fract_z
_atom_site_occupancy
In1 In 0.000 0.000 0.000 1
Cu1 Cu 0.000 0.500 0.500 1
Ru1 Ru 0.500 0.500 0.000 1
```

(2)
Material: Zr3Au2
Method: DFT, PBE-GGA
State: optimized geometry

E = -6.61 eV per atom
formation energy = -0.172 eV/atom

Structure (CIF):
```
data_Zr3Au2
_chemical_formula_sum 'Zr3 Au2'
_cell_length_a 4.7381
_cell_length_b 4.7381
_cell_length_c 5.8138
_cell_angle_alpha 90.00
_cell_angle_beta 90.00
_cell_angle_gamma 120.00
_symmetry_space_group_name_H-M 'P -3 m 1'
_symmetry_Int_Tables_number 164
_symmetry_space_group_name_Hall '-P 3 2"'
loop_
_atom_site_label
_atom_site_type_symbol
_atom_site_fract_x
_atom_site_fract_y
_atom_site_fract_z
_atom_site_occupancy
Zr1 Zr 0.0000 0.0000 0.0000 1
Zr2 Zr 0.3333 0.6667 0.3528 1
Au1 Au 0.3333 0.6667 0.8420 1
```

(3)
Material: Tc2HgGe2
Method: DFT, PBE-GGA
State: optimized geometry

E = -5.98 eV per atom
formation energy = 0.075 eV/atom

Structure (CIF):
```
data_Tc2HgGe2
_chemical_formula_sum 'Tc4 Hg2 Ge4'
_cell_length_a 7.233
_cell_length_b 7.233
_cell_length_c 3.140
_cell_angle_alpha 90.00
_cell_angle_beta 90.00
_cell_angle_gamma 90.00
_symmetry_space_group_name_H-M 'P 4/m b m'
_symmetry_Int_Tables_number 127
_symmetry_space_group_name_Hall '-P 4 2ab'
loop_
_atom_site_label
_atom_site_type_symbol
_atom_site_fract_x
_atom_site_fract_y
_atom_site_fract_z
_atom_site_occupancy
Tc1 Tc 0.144 0.356 0.000 1
Hg1 Hg 0.000 0.000 0.000 1
Ge1 Ge 0.148 0.648 0.500 1
```

Please write out number 2 again, unchanged.
Material: Zr3Au2
Method: DFT, PBE-GGA
State: optimized geometry

E = -6.61 eV per atom
formation energy = -0.172 eV/atom

Structure (CIF):
```
data_Zr3Au2
_chemical_formula_sum 'Zr3 Au2'
_cell_length_a 4.7381
_cell_length_b 4.7381
_cell_length_c 5.8138
_cell_angle_alpha 90.00
_cell_angle_beta 90.00
_cell_angle_gamma 120.00
_symmetry_space_group_name_H-M 'P -3 m 1'
_symmetry_Int_Tables_number 164
_symmetry_space_group_name_Hall '-P 3 2"'
loop_
_atom_site_label
_atom_site_type_symbol
_atom_site_fract_x
_atom_site_fract_y
_atom_site_fract_z
_atom_site_occupancy
Zr1 Zr 0.0000 0.0000 0.0000 1
Zr2 Zr 0.3333 0.6667 0.3528 1
Au1 Au 0.3333 0.6667 0.8420 1
```

What did the first record say?
Material: InCu2Ru
Method: DFT, PBE-GGA
State: optimized geometry

E = -4.95 eV per atom
formation energy = 0.097 eV/atom

Structure (CIF):
```
data_InCu2Ru
_chemical_formula_sum 'In1 Cu2 Ru1'
_cell_length_a 3.873
_cell_length_b 3.873
_cell_length_c 3.915
_cell_angle_alpha 90.00
_cell_angle_beta 90.00
_cell_angle_gamma 90.00
_symmetry_space_group_name_H-M 'P 4/m m m'
_symmetry_Int_Tables_number 123
_symmetry_space_group_name_Hall '-P 4 2'
loop_
_atom_site_label
_atom_site_type_symbol
_atom_site_fract_x
_atom_site_fract_y
_atom_site_fract_z
_atom_site_occupancy
In1 In 0.000 0.000 0.000 1
Cu1 Cu 0.000 0.500 0.500 1
Ru1 Ru 0.500 0.500 0.000 1
```

What did the second record say?
Material: Zr3Au2
Method: DFT, PBE-GGA
State: optimized geometry

E = -6.61 eV per atom
formation energy = -0.172 eV/atom

Structure (CIF):
```
data_Zr3Au2
_chemical_formula_sum 'Zr3 Au2'
_cell_length_a 4.7381
_cell_length_b 4.7381
_cell_length_c 5.8138
_cell_angle_alpha 90.00
_cell_angle_beta 90.00
_cell_angle_gamma 120.00
_symmetry_space_group_name_H-M 'P -3 m 1'
_symmetry_Int_Tables_number 164
_symmetry_space_group_name_Hall '-P 3 2"'
loop_
_atom_site_label
_atom_site_type_symbol
_atom_site_fract_x
_atom_site_fract_y
_atom_site_fract_z
_atom_site_occupancy
Zr1 Zr 0.0000 0.0000 0.0000 1
Zr2 Zr 0.3333 0.6667 0.3528 1
Au1 Au 0.3333 0.6667 0.8420 1
```